No. 1
The following is a GGA-PBE calculation of a relaxed Dy4Er3PuS8 crystal, from the Alexandria database.

energy relative to the elements, uncorrected = -31.43 eV/f.u.
magnetic moment = 5.8 Bohr magnetons per cell
energy = -6.930 eV per atom
density = 8.21 g/cm3

Geometry as POSCAR:
```
Dy4Er3PuS8
1.0
-3.6523 5.2206 -4.4784
-6.4647 -4.3407 0.2121
3.3927 2.2577 6.6365
Dy Er Pu S
4 3 1 8
Direct
0.5000 0.0000 0.0000
0.5000 0.0000 0.5000
0.0000 0.0000 0.0000
0.0000 0.0000 0.5000
0.5000 0.5000 0.0000
0.5000 0.5000 0.5000
0.0000 0.5000 0.5000
0.0000 0.5000 0.0000
0.2512 0.7486 0.9974
0.2512 0.7486 0.5023
0.2513 0.2540 0.5026
0.7463 0.7486 0.9974
0.2537 0.2514 0.0026
0.7487 0.7460 0.4974
0.7488 0.2514 0.4977
0.7488 0.2514 0.0026
```


No. 2
The following is a GGA-PBE calculation of a relaxed Dy2ErPuS6 crystal, from the Alexandria database.

energy relative to the elements, uncorrected = -19.19 eV/f.u.
magnetic moment = 5.0 Bohr magnetons per cell
energy = -7.206 eV per atom
density = 6.00 g/cm3

Geometry as POSCAR:
```
Dy2ErPuS6
1.0
-2.3560 5.0682 -4.0741
-0.1294 -0.8570 -6.8618
-6.5597 -0.9384 -3.2446
Dy Er Pu S
2 1 1 6
Direct
0.5169 0.5169 0.4494
0.0159 0.0158 0.9524
0.3167 0.3167 0.0500
0.8152 0.8152 0.5543
0.6130 0.2190 0.2495
0.2190 0.9185 0.2495
0.9185 0.6130 0.2495
0.4098 0.7153 0.7536
0.7153 0.1213 0.7536
0.1213 0.4098 0.7536
```


No. 3
The following is a GGA-PBE calculation of a relaxed Dy2Er3PuS6 crystal, from the Alexandria database.

energy relative to the elements, uncorrected = -23.55 eV/f.u.
magnetic moment = 5.9 Bohr magnetons per cell
energy = -7.128 eV per atom
density = 8.39 g/cm3

Geometry as POSCAR:
```
Dy2Er3PuS6
1.0
3.8742 0.0000 0.0000
0.0000 7.8092 0.2735
-1.9371 -2.2561 8.1817
Dy Er Pu S
2 3 1 6
Direct
0.8358 0.6710 0.6716
0.1642 0.3290 0.3284
0.5000 0.5000 0.0000
0.8347 0.1642 0.6693
0.1653 0.8358 0.3307
0.5000 0.0000 0.0000
0.3307 0.9174 0.6614
0.6669 0.5856 0.3338
0.6693 0.0826 0.3386
0.9989 0.2549 0.9978
0.0011 0.7451 0.0022
0.3331 0.4144 0.6662
```


No. 4
The following is a GGA-PBE calculation of a relaxed Dy4ErPuS8 crystal, from the Alexandria database.

energy relative to the elements, uncorrected = -26.46 eV/f.u.
magnetic moment = 6.3 Bohr magnetons per cell
energy = -6.913 eV per atom
density = 5.86 g/cm3

Geometry as POSCAR:
```
Dy4ErPuS8
1.0
-0.4362 7.8658 1.8547
0.7620 2.3916 7.6942
6.6184 3.9727 2.3662
Dy Er Pu S
4 1 1 8
Direct
0.6246 0.6246 0.1261
0.0014 0.4957 0.5015
0.4957 0.0014 0.5015
0.0014 0.0014 0.5015
0.0015 0.0015 0.9956
0.3756 0.3756 0.8733
0.2374 0.7840 0.7412
0.7840 0.2374 0.7412
0.2374 0.2374 0.7412
0.2391 0.2391 0.2826
0.7593 0.2257 0.2557
0.2257 0.7593 0.2557
0.7593 0.7593 0.2557
0.7576 0.7576 0.7272
```


No. 5
The following is a GGA-PBE calculation of a relaxed Dy3Er2PuS6 crystal, from the Alexandria database.

energy relative to the elements, uncorrected = -23.61 eV/f.u.
magnetic moment = 5.9 Bohr magnetons per cell
energy = -7.137 eV per atom
density = 8.32 g/cm3

Geometry as POSCAR:
```
Dy3Er2PuS6
1.0
3.8818 0.0000 0.0000
0.0000 7.8203 0.2815
-1.9409 -2.2514 8.1958
Dy Er Pu S
3 2 1 6
Direct
0.5000 0.5000 0.0000
0.8353 0.1644 0.6706
0.1647 0.8356 0.3294
0.8360 0.6717 0.6721
0.1640 0.3283 0.3279
0.5000 0.0000 0.0000
0.3312 0.9127 0.6624
0.6687 0.5811 0.3374
0.6688 0.0873 0.3376
0.0008 0.2533 0.0016
0.9992 0.7467 0.9984
0.3313 0.4189 0.6626
```


No. 6
The following is a GGA-PBE calculation of a relaxed Dy2ErPu3S6 crystal, from the Alexandria database.

energy relative to the elements, uncorrected = -22.84 eV/f.u.
magnetic moment = 5.6 Bohr magnetons per cell
energy = -8.698 eV per atom
density = 9.19 g/cm3

Geometry as POSCAR:
```
Dy2ErPu3S6
1.0
-3.0900 0.8417 2.2541
-1.3324 -7.6614 1.0344
6.7931 1.5139 5.3449
Dy Er Pu S
2 1 3 6
Direct
0.8337 0.6642 0.6673
0.1663 0.3358 0.3327
0.5000 0.0000 0.0000
0.5000 0.5000 0.0000
0.8331 0.1657 0.6661
0.1669 0.8343 0.3339
0.3348 0.9149 0.6696
0.6680 0.5826 0.3360
0.6652 0.0851 0.3304
0.0011 0.2456 0.0022
0.9989 0.7544 0.9978
0.3320 0.4174 0.6640
```


In order of appearance, V = 20.88, 25.70, 20.83, 26.68, 20.94, 21.34 Å³ per atom.